Cs6Sc3Br14 after structural relaxation, computed with PBE.

Unit cell a=13.0534 b=13.0534 c=7.0180 alpha=90.00 beta=90.00 gamma=120.00
Element x y z (fractional)
Cs 0.0237 0.5679 0.0000
Cs 0.3071 0.0940 0.5195
Cs 0.4321 0.4557 0.0000
Cs 0.5443 0.9763 0.0000
Cs 0.7870 0.6929 0.5195
Cs 0.9060 0.2130 0.5195
Sc 0.0000 0.0000 0.9520
Sc 0.3333 0.6667 0.4340
Sc 0.6667 0.3333 0.2731
Br 0.0000 0.0000 0.3162
Br 0.0672 0.8592 0.8246
Br 0.1408 0.2080 0.8246
Br 0.1953 0.4578 0.3101
Br 0.2625 0.8047 0.3101
Br 0.3333 0.6667 0.7983
Br 0.4699 0.2035 0.0570
Br 0.5352 0.3990 0.4870
Br 0.5422 0.7375 0.3101
Br 0.6010 0.1363 0.4870
Br 0.7336 0.5301 0.0570
Br 0.7920 0.9328 0.8246
Br 0.7965 0.2664 0.0570
Br 0.8637 0.4648 0.4870

Summary:
Its space-group type is No. 143. The raw formation energy is -1732 meV/atom.

VNi4Pt2 after structural relaxation, computed with PBE.

Unit cell a=6.5787 b=6.5787 c=4.3201 alpha=90.00 beta=90.00 gamma=90.00
Element x y z (fractional)
V 0.0000 0.0000 0.0000
V 0.5000 0.5000 0.5000
Ni 0.0865 0.3506 0.0000
Ni 0.1494 0.5865 0.5000
Ni 0.3506 0.0865 0.0000
Ni 0.4135 0.8506 0.5000
Ni 0.5865 0.1494 0.5000
Ni 0.6494 0.9135 0.0000
Ni 0.8506 0.4135 0.5000
Ni 0.9135 0.6494 0.0000
Pt 0.1704 0.1704 0.5000
Pt 0.3296 0.6704 0.0000
Pt 0.6704 0.3296 0.0000
Pt 0.8296 0.8296 0.5000

Summary:
Its space-group type is No. 136. As for the formation energy: 6 kJ/mol of formula units. For the polymorph energy (0 for the lowest one), the calculation gives 234 meV per atom.

KScTeSe after structural relaxation, computed with PBE.

Unit cell a=4.1300 b=4.1300 c=24.1971 alpha=90.00 beta=90.00 gamma=120.00
Element x y z (fractional)
K 0.0000 0.0000 0.0000
K 0.3333 0.6667 0.6667
K 0.6667 0.3333 0.3333
Sc 0.0000 0.0000 0.1581
Sc 0.3333 0.6667 0.8247
Sc 0.6667 0.3333 0.4914
Te 0.0000 0.0000 0.5624
Te 0.3333 0.6667 0.2291
Te 0.6667 0.3333 0.8958
Se 0.0000 0.0000 0.7656
Se 0.3333 0.6667 0.4322
Se 0.6667 0.3333 0.0989

Summary:
Its space-group type is No. 160. The raw formation energy is -1406 meV/atom.

InAgTe2 after structural relaxation, computed with PBE.

Unit cell a=3.5718 b=3.5718 c=31.2229 alpha=90.00 beta=90.00 gamma=120.00
Element x y z (fractional)
In 0.0000 0.0000 0.0000
In 0.3333 0.6667 0.6667
In 0.6667 0.3333 0.3333
Ag 0.0000 0.0000 0.2668
Ag 0.3333 0.6667 0.9335
Ag 0.6667 0.3333 0.6001
Te 0.0000 0.0000 0.5329
Te 0.0000 0.0000 0.7392
Te 0.3333 0.6667 0.1996
Te 0.3333 0.6667 0.4059
Te 0.6667 0.3333 0.0725
Te 0.6667 0.3333 0.8663

Summary:
Its space-group type is No. 160. The raw formation energy is 80 meV/atom.

Ce3BiAs after structural relaxation, computed with PBE.

Unit cell a=8.9019 b=8.9019 c=5.3375 alpha=90.00 beta=90.00 gamma=133.16
Element x y z (fractional)
Ce 0.0000 0.5000 0.5000
Ce 0.1600 0.8400 0.0000
Ce 0.3100 0.3100 0.5000
Ce 0.5000 0.0000 0.5000
Ce 0.6900 0.6900 0.5000
Ce 0.8400 0.1600 0.0000
Bi 0.3672 0.6328 0.0000
Bi 0.6328 0.3672 0.0000
As 0.1088 0.8912 0.5000
As 0.8912 0.1088 0.5000

Summary:
Its space-group type is No. 65. As for the formation energy: -309 kJ/mol of formula units.

RbMgInF6 after structural relaxation, computed with PBE.

Unit cell a=7.6134 b=7.6134 c=7.6134 alpha=121.41 beta=118.20 gamma=90.37
Element x y z (fractional)
Rb 0.3244 0.0744 0.2500
Rb 0.6756 0.9256 0.7500
Mg 0.0000 0.0000 0.5000
Mg 0.0000 0.5000 0.0000
In 0.0000 0.5000 0.5000
In 0.5000 0.5000 0.0000
F 0.0519 0.8019 0.2500
F 0.0541 0.4101 0.2249
F 0.0541 0.8292 0.6440
F 0.3148 0.1708 0.7249
F 0.3148 0.5899 0.1440
F 0.3334 0.5834 0.7500
F 0.6666 0.4166 0.2500
F 0.6852 0.4101 0.8560
F 0.6852 0.8292 0.2751
F 0.9459 0.1708 0.3560
F 0.9459 0.5899 0.7751
F 0.9481 0.1981 0.7500

Summary:
Its space-group type is No. 74. The raw formation energy is -2958 meV/atom.

DFT total energy values, unit eV/atom, following the record order: -3.798, -6.323, -4.920, -2.888, -5.906, -4.794.